The following is a PBE calculation of a relaxed K2Ba2Br crystal, from Alexandria via LeMat-Bulk.

## Properties
space-group type: P4/mbm, No. 127
energy relative to the elements, uncorrected: -0.49 eV/atom

a = 8.957 Å, b = 8.957 Å, c = 7.989 Å
α = 90.00°, β = 90.00°, γ = 90.00°
Fractional positions:
Ba 0.328 0.828 0.000
Ba 0.172 0.328 0.000
Ba 0.828 0.672 0.000
Ba 0.672 0.172 0.000
K 0.660 0.840 0.500
K 0.840 0.340 0.500
K 0.160 0.660 0.500
K 0.340 0.160 0.500
Br 0.500 0.500 0.000
Br 0.000 0.000 0.000

The following is a PBE calculation of a relaxed Mg2ZrTeF crystal, from Alexandria via LeMat-Bulk.

## Properties
space-group type: P4/mmm, No. 123
energy relative to the elements, uncorrected: -0.43 eV/atom

a = 5.764 Å, b = 4.155 Å, c = 5.764 Å
α = 90.00°, β = 90.00°, γ = 90.00°
Site moments in Bohr magnetons follow the coordinates.
Fractional positions:
Mg 0.000 0.000 0.500  0.00
Mg 0.500 0.000 0.000  0.01
Zr 0.000 0.000 0.000  0.36
Te 0.500 0.500 0.500  0.00
F 0.000 0.500 0.000  0.00

The following is a PBE calculation of a relaxed Na6SeBr2O crystal, from Alexandria via LeMat-Bulk.

## Properties
space-group type: Pmmn, No. 59
energy relative to the elements, uncorrected: -1.26 eV/atom

a = 6.809 Å, b = 7.602 Å, c = 9.963 Å
α = 90.00°, β = 90.00°, γ = 90.00°
Fractional positions:
O 0.000 0.791 0.000
O 0.500 0.209 0.500
Na 0.000 0.796 0.770
Na 0.234 0.015 0.000
Na 0.745 0.597 0.000
Na 0.000 0.796 0.230
Na 0.734 0.985 0.500
Na 0.500 0.204 0.730
Na 0.766 0.015 0.000
Na 0.755 0.403 0.500
Na 0.500 0.204 0.270
Na 0.255 0.597 0.000
Na 0.245 0.403 0.500
Na 0.266 0.985 0.500
Se 0.500 0.304 0.000
Se 0.000 0.696 0.500
Br 0.000 0.185 0.282
Br 0.500 0.815 0.218
Br 0.500 0.815 0.782
Br 0.000 0.185 0.718

The following is a PBE calculation of a relaxed ErBO2 crystal, from Alexandria via LeMat-Bulk.

## Properties
space-group type: R-3m, No. 166
energy relative to the elements, uncorrected: -0.74 eV/atom

a = 2.790 Å, b = 2.790 Å, c = 6.464 Å
α = 77.54°, β = 77.54°, γ = 60.00°
Site moments in Bohr magnetons follow the coordinates.
Fractional positions:
O 0.879 0.879 0.363  0.00
O 0.121 0.121 0.637  0.00
B 0.500 0.500 0.500  0.00
Er 0.000 0.000 0.000  0.07

The following is a PBE calculation of a relaxed TlV4Ag2 crystal, from Alexandria via LeMat-Bulk.

## Properties
space-group type: I4/mmm, No. 139
energy of formation: 1.474 eV per atom

a = 5.074 Å, b = 5.074 Å, c = 7.553 Å
α = 70.38°, β = 70.38°, γ = 90.00°
Site moments in Bohr magnetons follow the coordinates.
Fractional positions:
V 0.500 0.000 0.000  -2.40
V 0.000 0.500 0.000  -2.40
V 0.200 0.200 0.600  2.86
V 0.800 0.800 0.400  2.86
Ag 0.397 0.397 0.206  0.00
Ag 0.603 0.603 0.794  0.00
Tl 0.000 0.000 0.000  -0.03

The following is a PBE calculation of a relaxed Cs2NiPbBr6 crystal, from Alexandria via LeMat-Bulk.

## Properties
space-group type: Fm-3m, No. 225
energy relative to the elements, uncorrected: -1.08 eV/atom

a = 7.903 Å, b = 7.903 Å, c = 7.906 Å
α = 60.01°, β = 60.01°, γ = 90.00°
Site moments in Bohr magnetons follow the coordinates.
Fractional positions:
Br 0.269 0.269 0.000  0.07
Br 0.269 0.269 0.463  0.07
Br 0.731 0.731 0.537  0.07
Br 0.731 0.269 0.000  0.07
Br 0.731 0.731 0.000  0.07
Br 0.269 0.731 0.000  0.07
Pb 0.000 0.000 0.000  0.07
Ni 0.500 0.500 0.000  1.35
Cs 0.250 0.750 0.500  0.00
Cs 0.750 0.250 0.500  0.00